No. 1
Below is a relaxed structure of Zn2ReOs, with properties calculated at the GGA-PBE level.

Values from the calculation:
V ... 14.59 Å³ per atom
ΔH_f (0 K) ... 0.456 eV/atom
Total moment ... 0.0000 μB/atom

a b c (Å): 5.150 8.267 2.741
angles (deg): 90.00 90.00 90.00
Positions (direct):
Zn1 0.250 0.250 0.000
Zn2 0.250 0.750 0.000
Zn3 0.750 0.250 0.000
Zn4 0.750 0.750 0.000
Re1 0.000 0.000 0.500
Re2 0.500 0.500 0.500
Os1 0.000 0.500 0.500
Os2 0.500 0.000 0.500

***

No. 2
Below is a relaxed structure of Zn2ReOs, with properties calculated at the GGA-PBE level.

Values from the calculation:
V ... 14.43 Å³ per atom
ΔH_f (0 K) ... 0.037 eV/atom
Total moment ... 0.0000 μB/atom

a b c (Å): 2.882 2.882 6.947
angles (deg): 90.00 90.00 90.00
Positions (direct):
Zn1 0.000 0.000 0.000
Zn2 0.500 0.500 0.246
Re1 0.500 0.500 0.737
Os1 0.000 0.000 0.502

***

No. 3
Below is a relaxed structure of ZnRe2Os, with properties calculated at the GGA-PBE level.

Values from the calculation:
V ... 14.48 Å³ per atom
ΔH_f (0 K) ... 0.300 eV/atom
Total moment ... 0.0000 μB/atom

a b c (Å): 2.947 4.435 8.865
angles (deg): 90.00 90.00 90.00
Positions (direct):
Zn1 0.000 0.000 0.000
Zn2 0.500 0.500 0.500
Re1 0.000 0.000 0.499
Re2 0.000 0.500 0.253
Re3 0.500 0.000 0.753
Re4 0.500 0.500 0.999
Os1 0.000 0.500 0.742
Os2 0.500 0.000 0.242

***

No. 4
Below is a relaxed structure of ZnRe2Os, with properties calculated at the GGA-PBE level.

Values from the calculation:
V ... 14.50 Å³ per atom
ΔH_f (0 K) ... 0.194 eV/atom
Total moment ... 0.0000 μB/atom

a b c (Å): 2.746 3.992 5.293
angles (deg): 90.00 90.00 90.00
Positions (direct):
Zn1 0.000 0.000 0.000
Re1 0.500 0.500 0.245
Re2 0.500 0.500 0.755
Os1 0.000 0.000 0.500

***

No. 5
Below is a relaxed structure of Zn2ReOs, with properties calculated at the GGA-PBE level.

Values from the calculation:
V ... 14.29 Å³ per atom
ΔH_f (0 K) ... 0.234 eV/atom
Total moment ... 0.0000 μB/atom

a b c (Å): 4.110 4.110 6.767
angles (deg): 90.00 90.00 90.00
Positions (direct):
Zn1 0.000 0.000 0.000
Zn2 0.000 0.500 0.250
Zn3 0.500 0.000 0.750
Zn4 0.500 0.500 0.500
Re1 0.000 0.000 0.500
Re2 0.500 0.500 0.000
Os1 0.000 0.500 0.750
Os2 0.500 0.000 0.250

***

No. 6
Below is a relaxed structure of Zn2ReOs, with properties calculated at the GGA-PBE level.

Values from the calculation:
V ... 14.43 Å³ per atom
ΔH_f (0 K) ... 0.245 eV/atom
Total moment ... 0.0000 μB/atom

a b c (Å): 2.754 2.754 26.374
angles (deg): 90.00 90.00 120.00
Positions (direct):
Zn1 0.000 0.000 0.249
Zn2 0.000 0.000 0.751
Zn3 0.333 0.667 0.418
Zn4 0.333 0.667 0.916
Zn5 0.667 0.333 0.084
Zn6 0.667 0.333 0.582
Re1 0.000 0.000 0.000
Re2 0.333 0.667 0.667
Re3 0.667 0.333 0.333
Os1 0.000 0.000 0.500
Os2 0.333 0.667 0.167
Os3 0.667 0.333 0.833